Record 1
Er2Cu9Au | GGA-PBE | optimized geometry

Results
ΔE_f = -0.12 eV per atom
SG = R-3m, No. 166
Total DFT energy (no corrections) = -4.23 eV/atom
DOS at the Fermi energy = 0.34 states/eV/atom

The structure in CIF format:
```
data_Er2Cu9Au
_chemical_formula_sum 'Er2 Cu9 Au1'
_space_group_name_H-M_alt 'P 1'
_space_group_IT_number 1
_cell_length_a 8.6103
_cell_length_b 8.6103
_cell_length_c 8.6103
_cell_angle_alpha 34.30
_cell_angle_beta 34.30
_cell_angle_gamma 34.30
loop_
_space_group_symop_operation_xyz
'x,y,z'
loop_
_atom_site_label
_atom_site_type_symbol
_atom_site_fract_x
_atom_site_fract_y
_atom_site_fract_z
Er1 Er 0.1340 0.1340 0.1340
Er2 Er 0.8660 0.8660 0.8660
Cu1 Cu 0.0789 0.5839 0.5839
Cu2 Cu 0.3332 0.3332 0.3332
Cu3 Cu 0.4161 0.4161 0.9211
Cu4 Cu 0.4161 0.9211 0.4161
Cu5 Cu 0.5000 0.5000 0.5000
Cu6 Cu 0.5839 0.0789 0.5839
Cu7 Cu 0.5839 0.5839 0.0789
Cu8 Cu 0.6668 0.6668 0.6668
Cu9 Cu 0.9211 0.4161 0.4161
Au1 Au 0.0000 0.0000 0.0000
```

---

Record 2
ScInIr | GGA-PBE | optimized geometry

Results
ΔE_f = -0.48 eV per atom
SG = P3m1, No. 156
Total DFT energy (no corrections) = -6.45 eV/atom
DOS at the Fermi energy = 0.64 states/eV/atom

The structure in CIF format:
```
data_ScInIr
_chemical_formula_sum 'Sc1 In1 Ir1'
_space_group_name_H-M_alt 'P 1'
_space_group_IT_number 1
_cell_length_a 4.6137
_cell_length_b 4.6137
_cell_length_c 3.1016
_cell_angle_alpha 90.00
_cell_angle_beta 90.00
_cell_angle_gamma 120.00
loop_
_space_group_symop_operation_xyz
'x,y,z'
loop_
_atom_site_label
_atom_site_type_symbol
_atom_site_fract_x
_atom_site_fract_y
_atom_site_fract_z
Sc1 Sc 0.0000 0.0000 0.0000
In1 In 0.6667 0.3333 0.4994
Ir1 Ir 0.3333 0.6667 0.5033
```

---

Record 3
BaNiSb2 | GGA-PBE | optimized geometry

Results
SG = Cm, No. 8
Total DFT energy (no corrections) = -4.36 eV/atom
Energy relative to the elements, uncorrected = -377.1 meV/atom
DOS at the Fermi energy = 0.61 states/eV/atom

The structure in CIF format:
```
data_BaNiSb2
_chemical_formula_sum 'Ba2 Ni2 Sb4'
_space_group_name_H-M_alt 'P 1'
_space_group_IT_number 1
_cell_length_a 10.0462
_cell_length_b 4.1593
_cell_length_c 6.1784
_cell_angle_alpha 90.00
_cell_angle_beta 113.85
_cell_angle_gamma 90.00
loop_
_space_group_symop_operation_xyz
'x,y,z'
loop_
_atom_site_label
_atom_site_type_symbol
_atom_site_fract_x
_atom_site_fract_y
_atom_site_fract_z
Ba1 Ba 0.0000 0.0000 0.0000
Ba2 Ba 0.5000 0.5000 0.0000
Ni1 Ni 0.2530 0.5000 0.4329
Ni2 Ni 0.7530 0.0000 0.4329
Sb1 Sb 0.1907 0.0000 0.6263
Sb2 Sb 0.4062 0.0000 0.4161
Sb3 Sb 0.6907 0.5000 0.6263
Sb4 Sb 0.9062 0.5000 0.4161
```

---

Record 4
Ta2CrAg2Se6 | GGA-PBE | optimized geometry

Results
SG = C2/m, No. 12
Total DFT energy (no corrections) = -5.90 eV/atom
Energy relative to the elements, uncorrected = -447.6 meV/atom
DOS at the Fermi energy = 0.21 states/eV/atom

The structure in CIF format:
```
data_Ta2CrAg2Se6
_chemical_formula_sum 'Ta2 Cr1 Ag2 Se6'
_space_group_name_H-M_alt 'P 1'
_space_group_IT_number 1
_cell_length_a 6.2224
_cell_length_b 6.2224
_cell_length_c 7.5535
_cell_angle_alpha 97.06
_cell_angle_beta 97.06
_cell_angle_gamma 121.15
loop_
_space_group_symop_operation_xyz
'x,y,z'
loop_
_atom_site_label
_atom_site_type_symbol
_atom_site_fract_x
_atom_site_fract_y
_atom_site_fract_z
Ta1 Ta 0.1324 0.8676 0.0000
Ta2 Ta 0.8676 0.1324 0.0000
Cr1 Cr 0.5000 0.5000 0.0000
Ag1 Ag 0.2854 0.7146 0.5000
Ag2 Ag 0.7146 0.2854 0.5000
Se1 Se 0.1105 0.4522 0.8000
Se2 Se 0.2698 0.2698 0.2416
Se3 Se 0.4522 0.1105 0.8000
Se4 Se 0.5478 0.8895 0.2000
Se5 Se 0.7302 0.7302 0.7584
Se6 Se 0.8895 0.5478 0.2000
```

---

Record 5
MgCu2Hg2 | GGA-PBE | optimized geometry

Results
ΔE_f = 0.10 eV per atom
SG = P4/mbm, No. 127
Total DFT energy (no corrections) = -1.97 eV/atom
DOS at the Fermi energy = 0.28 states/eV/atom
Energy relative to the lowest polymorph listed for this composition = 0.0698 eV/atom

The structure in CIF format:
```
data_MgCu2Hg2
_chemical_formula_sum 'Mg2 Cu4 Hg4'
_space_group_name_H-M_alt 'P 1'
_space_group_IT_number 1
_cell_length_a 7.5109
_cell_length_b 7.5109
_cell_length_c 3.2346
_cell_angle_alpha 90.00
_cell_angle_beta 90.00
_cell_angle_gamma 90.00
loop_
_space_group_symop_operation_xyz
'x,y,z'
loop_
_atom_site_label
_atom_site_type_symbol
_atom_site_fract_x
_atom_site_fract_y
_atom_site_fract_z
Mg1 Mg 0.0000 0.0000 0.0000
Mg2 Mg 0.5000 0.5000 0.0000
Cu1 Cu 0.1575 0.3425 0.5000
Cu2 Cu 0.3425 0.8425 0.5000
Cu3 Cu 0.6575 0.1575 0.5000
Cu4 Cu 0.8425 0.6575 0.5000
Hg1 Hg 0.1433 0.6433 0.0000
Hg2 Hg 0.3567 0.1433 0.0000
Hg3 Hg 0.6433 0.8567 0.0000
Hg4 Hg 0.8567 0.3567 0.0000
```

---

Record 6
Ta6Nb12Mo | GGA-PBE | optimized geometry

Results
ΔE_f = 0.14 eV per atom
SG = R-3, No. 148
Total DFT energy (no corrections) = -10.53 eV/atom
DOS at the Fermi energy = 0.98 states/eV/atom

The structure in CIF format:
```
data_Ta6Nb12Mo
_chemical_formula_sum 'Ta6 Nb12 Mo1'
_space_group_name_H-M_alt 'P 1'
_space_group_IT_number 1
_cell_length_a 7.1102
_cell_length_b 7.1102
_cell_length_c 7.1102
_cell_angle_alpha 88.77
_cell_angle_beta 88.77
_cell_angle_gamma 88.77
loop_
_space_group_symop_operation_xyz
'x,y,z'
loop_
_atom_site_label
_atom_site_type_symbol
_atom_site_fract_x
_atom_site_fract_y
_atom_site_fract_z
Ta1 Ta 0.2326 0.3852 0.7590
Ta2 Ta 0.2410 0.7674 0.6148
Ta3 Ta 0.3852 0.7590 0.2326
Ta4 Ta 0.6148 0.2410 0.7674
Ta5 Ta 0.7590 0.2326 0.3852
Ta6 Ta 0.7674 0.6148 0.2410
Nb1 Nb 0.0191 0.9218 0.3116
Nb2 Nb 0.0782 0.6884 0.9809
Nb3 Nb 0.1197 0.4385 0.3538
Nb4 Nb 0.3116 0.0191 0.9218
Nb5 Nb 0.3538 0.1197 0.4385
Nb6 Nb 0.4385 0.3538 0.1197
Nb7 Nb 0.5615 0.6462 0.8803
Nb8 Nb 0.6462 0.8803 0.5615
Nb9 Nb 0.6884 0.9809 0.0782
Nb10 Nb 0.8803 0.5615 0.6462
Nb11 Nb 0.9218 0.3116 0.0191
Nb12 Nb 0.9809 0.0782 0.6884
Mo1 Mo 0.5000 0.5000 0.5000
```

---

Record 7
SbPdNF2 | GGA-PBE | optimized geometry

Results
SG = P4/mmm, No. 123
Total DFT energy (no corrections) = -4.51 eV/atom
Energy relative to the elements, uncorrected = -228.6 meV/atom
DOS at the Fermi energy = 0.61 states/eV/atom
Energy relative to the lowest polymorph listed for this composition = 0.0000 eV/atom

The structure in CIF format:
```
data_SbPdNF2
_chemical_formula_sum 'Sb1 Pd1 N1 F2'
_space_group_name_H-M_alt 'P 1'
_space_group_IT_number 1
_cell_length_a 4.3270
_cell_length_b 4.3270
_cell_length_c 4.1043
_cell_angle_alpha 90.00
_cell_angle_beta 90.00
_cell_angle_gamma 90.00
loop_
_space_group_symop_operation_xyz
'x,y,z'
loop_
_atom_site_label
_atom_site_type_symbol
_atom_site_fract_x
_atom_site_fract_y
_atom_site_fract_z
Sb1 Sb 0.0000 0.0000 0.0000
Pd1 Pd 0.5000 0.5000 0.5000
N1 N 0.0000 0.0000 0.5000
F1 F 0.0000 0.5000 0.0000
F2 F 0.5000 0.0000 0.0000
```

---

Record 8
La3Rh2 | GGA-PBE | optimized geometry

Results
ΔE_f = -0.63 eV per atom
SG = P-3m1, No. 164
Total DFT energy (no corrections) = -6.53 eV/atom
DOS at the Fermi energy = 0.77 states/eV/atom
Energy relative to the lowest polymorph listed for this composition = 0.0378 eV/atom

The structure in CIF format:
```
data_La3Rh2
_chemical_formula_sum 'La3 Rh2'
_space_group_name_H-M_alt 'P 1'
_space_group_IT_number 1
_cell_length_a 4.2573
_cell_length_b 4.2573
_cell_length_c 9.3859
_cell_angle_alpha 90.00
_cell_angle_beta 90.00
_cell_angle_gamma 120.00
loop_
_space_group_symop_operation_xyz
'x,y,z'
loop_
_atom_site_label
_atom_site_type_symbol
_atom_site_fract_x
_atom_site_fract_y
_atom_site_fract_z
La1 La 0.0000 0.0000 0.0000
La2 La 0.3333 0.6667 0.3324
La3 La 0.6667 0.3333 0.6676
Rh1 Rh 0.3333 0.6667 0.8137
Rh2 Rh 0.6667 0.3333 0.1863
```

---

Record 9
Hf2PbAu | GGA-PBE | optimized geometry

Results
ΔE_f = -0.04 eV per atom
SG = R-3m, No. 166
Total DFT energy (no corrections) = -6.77 eV/atom
DOS at the Fermi energy = 0.82 states/eV/atom

The structure in CIF format:
```
data_Hf2PbAu
_chemical_formula_sum 'Hf6 Pb3 Au3'
_space_group_name_H-M_alt 'P 1'
_space_group_IT_number 1
_cell_length_a 3.2910
_cell_length_b 3.2910
_cell_length_c 28.6843
_cell_angle_alpha 90.00
_cell_angle_beta 90.00
_cell_angle_gamma 120.00
loop_
_space_group_symop_operation_xyz
'x,y,z'
loop_
_atom_site_label
_atom_site_type_symbol
_atom_site_fract_x
_atom_site_fract_y
_atom_site_fract_z
Hf1 Hf 0.0000 0.0000 0.2431
Hf2 Hf 0.0000 0.0000 0.7569
Hf3 Hf 0.3333 0.6667 0.4236
Hf4 Hf 0.3333 0.6667 0.9098
Hf5 Hf 0.6667 0.3333 0.0902
Hf6 Hf 0.6667 0.3333 0.5764
Pb1 Pb 0.0000 0.0000 0.0000
Pb2 Pb 0.3333 0.6667 0.6667
Pb3 Pb 0.6667 0.3333 0.3333
Au1 Au 0.0000 0.0000 0.5000
Au2 Au 0.3333 0.6667 0.1667
Au3 Au 0.6667 0.3333 0.8333
```

---

Record 10
TaFe4Ru | GGA-PBE | optimized geometry

Results
ΔE_f = -0.11 eV per atom
SG = F-43m, No. 216
Total DFT energy (no corrections) = -9.27 eV/atom
DOS at the Fermi energy = 1.26 states/eV/atom

The structure in CIF format:
```
data_TaFe4Ru
_chemical_formula_sum 'Ta1 Fe4 Ru1'
_space_group_name_H-M_alt 'P 1'
_space_group_IT_number 1
_cell_length_a 4.7457
_cell_length_b 4.7457
_cell_length_c 4.7457
_cell_angle_alpha 60.00
_cell_angle_beta 60.00
_cell_angle_gamma 60.00
loop_
_space_group_symop_operation_xyz
'x,y,z'
loop_
_atom_site_label
_atom_site_type_symbol
_atom_site_fract_x
_atom_site_fract_y
_atom_site_fract_z
Ta1 Ta 0.0000 0.0000 0.0000
Fe1 Fe 0.3751 0.3751 0.3751
Fe2 Fe 0.3751 0.3751 0.8747
Fe3 Fe 0.3751 0.8747 0.3751
Fe4 Fe 0.8747 0.3751 0.3751
Ru1 Ru 0.7500 0.7500 0.7500
```

---

Record 11
PrTmAlGe | GGA-PBE | optimized geometry

Results
ΔE_f = -0.65 eV per atom
SG = Amm2, No. 38
Total DFT energy (no corrections) = -5.05 eV/atom
DOS at the Fermi energy = 0.71 states/eV/atom

The structure in CIF format:
```
data_PrTmAlGe
_chemical_formula_sum 'Pr2 Tm2 Al2 Ge2'
_space_group_name_H-M_alt 'P 1'
_space_group_IT_number 1
_cell_length_a 4.0719
_cell_length_b 4.4557
_cell_length_c 11.0269
_cell_angle_alpha 90.00
_cell_angle_beta 90.00
_cell_angle_gamma 90.00
loop_
_space_group_symop_operation_xyz
'x,y,z'
loop_
_atom_site_label
_atom_site_type_symbol
_atom_site_fract_x
_atom_site_fract_y
_atom_site_fract_z
Pr1 Pr 0.0000 0.0000 0.0000
Pr2 Pr 0.0000 0.5000 0.5000
Tm1 Tm 0.5000 0.0000 0.2814
Tm2 Tm 0.5000 0.5000 0.7814
Al1 Al 0.0000 0.0000 0.7176
Al2 Al 0.0000 0.5000 0.2176
Ge1 Ge 0.5000 0.0000 0.5673
Ge2 Ge 0.5000 0.5000 0.0673
```

---

Record 12
ErTmCoIr | GGA-PBE | optimized geometry

Results
ΔE_f = -0.59 eV per atom
SG = F-43m, No. 216
Total DFT energy (no corrections) = -6.84 eV/atom
DOS at the Fermi energy = 0.40 states/eV/atom

The structure in CIF format:
```
data_ErTmCoIr
_chemical_formula_sum 'Er4 Tm4 Co4 Ir4'
_space_group_name_H-M_alt 'P 1'
_space_group_IT_number 1
_cell_length_a 6.7044
_cell_length_b 6.7044
_cell_length_c 6.7044
_cell_angle_alpha 90.00
_cell_angle_beta 90.00
_cell_angle_gamma 90.00
loop_
_space_group_symop_operation_xyz
'x,y,z'
loop_
_atom_site_label
_atom_site_type_symbol
_atom_site_fract_x
_atom_site_fract_y
_atom_site_fract_z
Er1 Er 0.0000 0.0000 0.0000
Er2 Er 0.0000 0.5000 0.5000
Er3 Er 0.5000 0.0000 0.5000
Er4 Er 0.5000 0.5000 0.0000
Tm1 Tm 0.0000 0.0000 0.5000
Tm2 Tm 0.0000 0.5000 0.0000
Tm3 Tm 0.5000 0.0000 0.0000
Tm4 Tm 0.5000 0.5000 0.5000
Co1 Co 0.2500 0.2500 0.7500
Co2 Co 0.2500 0.7500 0.2500
Co3 Co 0.7500 0.2500 0.2500
Co4 Co 0.7500 0.7500 0.7500
Ir1 Ir 0.2500 0.2500 0.2500
Ir2 Ir 0.2500 0.7500 0.7500
Ir3 Ir 0.7500 0.2500 0.7500
Ir4 Ir 0.7500 0.7500 0.2500
```